# 1
NaGaPtPb: relaxed, GGA-PBE.

Results
**Spin magnetization**: 0.00 μB per cell
**Calculated volume**: 21.18 A^3/atom
**Uncorrected energy**: -14.3 eV per cell
**Space-group type**: No. 216

Cell lengths 4.930, 4.930, 4.930 Å; angles 60.00, 60.00, 60.00 degrees
Element x y z (fractional)
Ga  0.000  0.000  0.000
Na  0.750  0.750  0.750
Pb  0.250  0.250  0.250
Pt  0.500  0.500  0.500



# 2
NaGaPtPb: relaxed, GGA-PBE.

Results
**Spin magnetization**: 0.00 μB per cell
**Calculated volume**: 19.80 A^3/atom
**Uncorrected energy**: -14.8 eV per cell
**Space-group type**: No. 216

Cell lengths 4.820, 4.820, 4.820 Å; angles 60.00, 60.00, 60.00 degrees
Element x y z (fractional)
Ga  0.500  0.500  0.500
Na  0.750  0.750  0.750
Pb  0.000  0.000  0.000
Pt  0.250  0.250  0.250



# 3
Na4GaPt2Pb: relaxed, GGA-PBE.

Results
**Spin magnetization**: 0.01 μB per cell
**Calculated volume**: 19.82 A^3/atom
**Uncorrected energy**: -25.7 eV per cell
**Space-group type**: No. 115

Cell lengths 4.750, 4.750, 7.030 Å; angles 90.00, 90.00, 90.00 degrees
Element x y z (fractional)
Ga  0.000  0.000  0.000
Na  0.500  0.500  0.000
Na  0.000  0.500  0.228
Na  0.000  0.000  0.500
Na  0.500  0.000  0.772
Pb  0.500  0.500  0.500
Pt  0.500  0.000  0.228
Pt  0.000  0.500  0.772



# 4
NaGaPd: relaxed, GGA-PBE.

Results
**Calculated volume**: 20.73 A^3/atom
**Uncorrected energy**: -10.0 eV per cell
**Space-group type**: No. 216

Cell lengths 4.447, 4.447, 4.447 Å; angles 60.00, 60.00, 60.00 degrees
Element x y z (fractional)
Ga  0.250  0.250  0.250
Na  0.750  0.750  0.750
Pd  0.000  0.000  0.000



# 5
NaGaPd: relaxed, GGA-PBE.

Results
**Calculated volume**: 21.34 A^3/atom
**Uncorrected energy**: -8.6 eV per cell
**Space-group type**: No. 216

Cell lengths 4.490, 4.490, 4.490 Å; angles 60.00, 60.00, 60.00 degrees
Element x y z (fractional)
Ga  0.250  0.250  0.250
Na  0.000  0.000  0.000
Pd  0.750  0.750  0.750



# 6
Na2Sc2Ga2PdPt: relaxed, GGA-PBE.

Results
**Spin magnetization**: 0.01 μB per cell
**Calculated volume**: 17.58 A^3/atom
**Uncorrected energy**: -36.3 eV per cell
**Space-group type**: No. 115

Cell lengths 4.632, 4.632, 6.556 Å; angles 90.00, 90.00, 90.00 degrees
Element x y z (fractional)
Ga  0.000  0.500  0.252
Ga  0.500  0.000  0.748
Na  0.500  0.500  0.000
Na  0.000  0.000  0.500
Pd  0.000  0.000  0.000
Pt  0.500  0.500  0.500
Sc  0.500  0.000  0.255
Sc  0.000  0.500  0.745



# 7
Na2ZnGaPd2Pt2: relaxed, GGA-PBE.

Results
**Spin magnetization**: 0.00 μB per cell
**Calculated volume**: 15.63 A^3/atom
**Uncorrected energy**: -31.9 eV per cell
**Space-group type**: No. 115

Cell lengths 4.456, 4.456, 6.298 Å; angles 90.00, 90.00, 90.00 degrees
Element x y z (fractional)
Ga  0.000  0.000  0.500
Na  0.000  0.000  0.000
Na  0.500  0.500  0.500
Pd  0.000  0.500  0.251
Pd  0.500  0.000  0.749
Pt  0.500  0.000  0.253
Pt  0.000  0.500  0.747
Zn  0.500  0.500  0.000



# 8
Na2Zr2Ga2PdPt: relaxed, GGA-PBE.

Results
**Spin magnetization**: 0.01 μB per cell
**Calculated volume**: 17.48 A^3/atom
**Uncorrected energy**: -40.2 eV per cell
**Space-group type**: No. 115

Cell lengths 4.623, 4.623, 6.541 Å; angles 90.00, 90.00, 90.00 degrees
Element x y z (fractional)
Ga  0.500  0.000  0.249
Ga  0.000  0.500  0.751
Na  0.500  0.500  0.000
Na  0.000  0.000  0.500
Pd  0.000  0.000  0.000
Pt  0.500  0.500  0.500
Zr  0.000  0.500  0.251
Zr  0.500  0.000  0.749